No. 1
Below is a geometry-optimized Pa2Ga5Pd4 structure, with properties calculated at the GGA-PBE level.

```
11
Lattice="5.323 0.000 0.000 2.661 4.553 0.000 2.661 0.000 8.421" Properties=species:S:1:pos:R:3 pbc="T T T"
Pa 5.323 0.000 1.966
Pa 2.661 0.000 6.455
Ga 2.661 0.000 0.000
Ga 1.331 2.276 0.000
Ga 3.992 2.276 0.000
Ga 3.992 2.276 4.211
Ga 6.653 2.276 4.211
Pd 5.323 1.459 6.209
Pd 5.323 3.094 2.212
Pd 2.661 1.459 2.212
Pd 7.984 3.094 6.209
```

Calculated formation energy ... -0.544 eV/atom
Total DFT energy (no corrections) ... -5.5349 eV/atom
Theoretical density ... 10.06 g cm⁻³
Crystal system ... orthorhombic

***

No. 2
Below is a geometry-optimized KSn3As structure, with properties calculated at the GGA-PBE level.

```
5
Lattice="5.600 0.000 0.000 0.000 5.600 0.000 0.000 0.000 5.600" Properties=species:S:1:pos:R:3 pbc="T T T"
K 2.800 2.800 2.800
As 0.000 0.000 0.000
Sn 0.000 2.800 0.000
Sn 0.000 0.000 2.800
Sn 2.800 0.000 0.000
```

Calculated formation energy ... 0.230 eV/atom
Total DFT energy (no corrections) ... -3.3212 eV/atom
Theoretical density ... 4.44 g cm⁻³
Energy relative to the lowest polymorph listed for this composition ... 0 meV/atom
Crystal system ... cubic

***

No. 3
Below is a geometry-optimized PrSm3Ga structure, with properties calculated at the GGA-PBE level.

```
10
Lattice="-1.272 0.803 -3.444 5.987 -5.221 -3.423 -6.963 -6.268 3.167" Properties=species:S:1:pos:R:3 pbc="T T T"
Pr -6.893 -5.336 -0.221
Pr -1.002 -2.538 0.314
Sm 1.408 -7.367 -3.755
Sm -3.316 -5.727 0.425
Sm 1.347 -2.388 -2.581
Sm -0.951 -8.119 -1.009
Sm 3.708 -4.438 -3.916
Sm -0.957 -4.976 -2.321
Ga 1.999 -5.373 -1.458
Ga -3.907 -7.721 -1.873
```

Calculated formation energy ... -0.206 eV/atom
Total DFT energy (no corrections) ... -4.5986 eV/atom
Theoretical density ... 7.17 g cm⁻³
Energy relative to the lowest polymorph listed for this composition ... 0 meV/atom
Crystal system ... triclinic

***

No. 4
Below is a geometry-optimized MgCu2 structure, with properties calculated at the GGA-PBE level.

```
3
Lattice="-3.603 1.483 5.245 -2.727 -1.134 5.828 -1.046 1.067 6.361" Properties=species:S:1:pos:R:3 pbc="T T T"
Cu -5.765 1.108 13.624
Cu -4.070 0.782 9.619
Mg -0.001 0.000 0.001
```

Calculated formation energy ... 0.101 eV/atom
Total DFT energy (no corrections) ... -3.1612 eV/atom
Theoretical density ... 5.77 g cm⁻³
Crystal system ... trigonal

***

No. 5
Below is a geometry-optimized Ho2Pd4Rh structure, with properties calculated at the GGA-PBE level.

```
14
Lattice="-6.073 -7.077 2.393 1.025 -2.489 -4.760 3.217 -1.244 4.485" Properties=species:S:1:pos:R:3 pbc="T T T"
Ho 1.685 -2.027 -1.718
Ho 2.557 -1.706 1.443
Ho 0.034 -6.490 0.259
Ho -1.864 -4.321 1.858
Pd -3.997 -7.039 -1.241
Pd -2.335 -7.413 1.201
Pd -2.848 -6.169 3.581
Pd -4.300 -5.550 1.057
Pd -0.748 -4.016 -3.424
Pd 1.018 -4.642 -1.464
Pd 0.505 -3.398 0.916
Pd -1.051 -2.527 -1.127
Rh 0.000 0.000 0.000
Rh -2.524 -4.783 -1.184
```

Calculated formation energy ... -0.473 eV/atom
Total DFT energy (no corrections) ... -5.7981 eV/atom
Theoretical density ... 10.93 g cm⁻³
Crystal system ... orthorhombic

***

No. 6
Below is a geometry-optimized Sr2GeRhN structure, with properties calculated at the GGA-PBE level.

```
5
Lattice="-3.700 -4.115 -2.113 2.706 -3.245 1.582 -2.962 0.030 5.129" Properties=species:S:1:pos:R:3 pbc="T T T"
Sr -1.481 0.015 2.565
Sr -1.850 -2.058 -1.056
Ge 0.000 0.000 0.000
Rh 1.353 -1.622 0.791
N -1.978 -3.665 2.299
```

Formation energy (no corrections) ... 58 kJ per mole of atoms
Total DFT energy (no corrections) ... -4.1260 eV/atom
Theoretical density ... 3.83 g cm⁻³
Energy relative to the lowest polymorph listed for this composition ... 1069 meV/atom
Crystal system ... tetragonal

***

- Among the records above, which one has the highest total DFT energy (no corrections)?
  MgCu2